Entry 1:
The following is a DFT calculation (PBE) of a relaxed structure of ZnReF2.

a = 5.2366 Å, b = 5.2366 Å, c = 8.1997 Å
α = 90.00°, β = 90.00°, γ = 90.00°
Closest atoms and distances in Å follow each position.
Space group I-42d (No. 122)
Inequivalent atoms, fractional coordinates:
Zn 0.0000 0.0000 0.0000 [4 per cell]  4 F 1.95
Re 0.0000 0.0000 0.5000 [4 per cell]  4 F 2.31
F 0.1937 0.2500 0.1250 [8 per cell]  2 Zn 1.95

Results
electronic total energy = -4.16 eV per atom
E above lowest polymorph = 4.97 eV per formula unit
volume = 14.1 Å³ per atom

Entry 2:
The following is a DFT calculation (PBE) of a relaxed structure of SbP2Ir.

a = 3.4789 Å, b = 3.6052 Å, c = 12.1628 Å
α = 90.00°, β = 90.00°, γ = 90.00°
Closest atoms and distances in Å follow each position.
Space group Imm2 (No. 44)
Inequivalent atoms, fractional coordinates:
Sb 0.0000 0.0000 0.0000 [2 per cell]  2 Ir 2.80, 2 P 2.92
P 0.0000 0.0000 0.6806 [2 per cell]  2 P 2.33, 2 Ir 2.51
P 0.0000 0.5000 0.3077 [2 per cell]  2 P 2.33, 4 Ir 2.51
Ir 0.0000 0.5000 0.8237 [2 per cell]  6 P 2.51, 2 Sb 2.80

Results
electronic total energy = -5.81 eV per atom
volume = 19.1 Å³ per atom

Entry 3:
The following is a DFT calculation (PBE) of a relaxed structure of BiB3Te.

a = 4.5086 Å, b = 4.5086 Å, c = 4.5086 Å
α = 90.00°, β = 90.00°, γ = 90.00°
Closest atoms and distances in Å follow each position.
Space group Pm-3m (No. 221)
Inequivalent atoms, fractional coordinates:
Bi 0.0000 0.0000 0.0000 [1 per cell]  12 B 3.19
B 0.0000 0.5000 0.5000 [3 per cell]  2 Te 2.25
Te 0.5000 0.5000 0.5000 [1 per cell]  6 B 2.25

Results
electronic total energy = -3.46 eV per atom
E above lowest polymorph = 0.00 eV per formula unit
volume = 18.3 Å³ per atom

Number 1: calculated density 8.6 Mg/m³, raw formation energy 210.5 meV per atom. Number 2: calculated density 8.2 Mg/m³, raw formation energy 142.7 meV per atom. Number 3: calculated density 6.7 Mg/m³, raw formation energy 1946.2 meV per atom.